# PrGaHRh

A relaxed PrGaHRh crystal (PBE-GGA, Alexandria).

Calculated total energy (eV per atom): -5.349
Density (Mg/m³): 7.74
N(E_F) (states/eV per cell): 3.21

```
PrGaHRh
1.0
4.220 0.000 0.000
0.000 4.220 0.000
0.000 0.000 7.575
Pr Ga H Rh
2 2 2 2
direct
0.250 0.250 0.164
0.750 0.750 0.836
0.250 0.250 0.676
0.750 0.750 0.324
0.250 0.750 0.000
0.750 0.250 0.000
0.250 0.750 0.500
0.750 0.250 0.500
```



# Li2Hg2S3

A relaxed Li2Hg2S3 crystal (PBE-GGA, Alexandria).

Density (Mg/m³): 5.50
Energy relative to the elements, uncorrected (eV/atom): -0.489

```
Li2Hg2S3
1.0
7.193 0.000 0.000
0.000 7.011 0.000
-3.298 0.000 6.121
Li Hg S
4 4 6
direct
0.147 0.126 0.440
0.147 0.374 0.940
0.853 0.626 0.060
0.853 0.874 0.560
0.422 0.653 0.609
0.422 0.847 0.109
0.578 0.153 0.891
0.578 0.347 0.391
0.166 0.054 0.809
0.166 0.446 0.309
0.500 0.000 0.500
0.500 0.500 0.000
0.834 0.554 0.691
0.834 0.946 0.191
```



# PmGaOs

A relaxed PmGaOs crystal (PBE-GGA, Alexandria).

Density (Mg/m³): 11.30
Polymorph energy (0 for the lowest one) (eV/atom): 0.185
N(E_F) (states/eV per cell): 1.51

```
PmGaOs
1.0
-1.669 1.669 5.340
1.669 -1.669 5.340
1.669 1.669 -5.340
Pm Ga Os
1 1 1
direct
0.000 0.000 0.000
0.288 0.288 0.000
0.683 0.683 0.000
```



# SbTeRh2

A relaxed SbTeRh2 crystal (PBE-GGA, Alexandria).

Density (Mg/m³): 9.66
Energy relative to the elements, uncorrected (eV/atom): -0.282
N(E_F) (states/eV per cell): 2.11

```
SbTeRh2
1.0
3.672 0.000 0.000
0.000 3.672 0.000
0.000 0.000 5.803
Sb Te Rh
1 1 2
direct
0.000 0.000 0.000
0.500 0.500 0.410
0.000 0.000 0.543
0.500 0.500 0.854
```



# VIr3Pt

A relaxed VIr3Pt crystal (PBE-GGA, Alexandria).

Density (Mg/m³): 15.21
Polymorph energy (0 for the lowest one) (eV/atom): 0.000
N(E_F) (states/eV per cell): 10.72

```
VIr3Pt
1.0
4.479 0.000 0.000
0.000 4.479 0.000
0.000 0.000 4.479
V Ir Pt
1 3 1
direct
0.000 0.000 0.000
0.000 0.000 0.500
0.000 0.500 0.000
0.500 0.000 0.000
0.500 0.500 0.500
```



# TaHg2F6

A relaxed TaHg2F6 crystal (PBE-GGA, Alexandria).

Density (Mg/m³): 6.74
Energy relative to the elements, uncorrected (eV/atom): -2.402
Polymorph energy (0 for the lowest one) (eV/atom): 0.059
N(E_F) (states/eV per cell): 5.77

```
TaHg2F6
1.0
4.593 -4.593 0.000
4.593 4.593 0.000
-4.580 0.000 8.130
Ta Hg F
2 4 12
direct
0.125 0.875 0.750
0.875 0.125 0.250
0.000 0.500 0.000
0.500 0.000 0.500
0.500 0.500 0.000
0.500 0.500 0.500
0.008 0.758 0.515
0.085 0.335 0.250
0.086 0.914 0.250
0.242 0.992 0.985
0.335 0.085 0.750
0.335 0.665 0.750
0.665 0.335 0.250
0.665 0.915 0.250
0.758 0.008 0.015
0.914 0.086 0.750
0.915 0.665 0.750
0.992 0.242 0.485
```



# Ge3BOs

A relaxed Ge3BOs crystal (PBE-GGA, Alexandria).

Density (Mg/m³): 9.02
Polymorph energy (0 for the lowest one) (eV/atom): 0.000
N(E_F) (states/eV per cell): 4.18

```
Ge3BOs
1.0
4.256 0.000 0.000
0.000 4.256 0.000
0.000 0.000 4.256
Ge B Os
3 1 1
direct
0.000 0.000 0.500
0.000 0.500 0.000
0.500 0.000 0.000
0.000 0.000 0.000
0.500 0.500 0.500
```



# Cu2TcNi

A relaxed Cu2TcNi crystal (PBE-GGA, Alexandria).

Density (Mg/m³): 9.31
Polymorph energy (0 for the lowest one) (eV/atom): 0.281
N(E_F) (states/eV per cell): 5.31

```
Cu2TcNi
1.0
4.429 0.000 0.000
0.000 4.429 0.000
0.000 0.000 2.580
Cu Tc Ni
2 1 1
direct
0.000 0.500 0.000
0.500 0.000 0.000
0.000 0.000 0.500
0.500 0.500 0.500
```



Which value of density does entry 7 give? 9.02 Mg/m³



Please write out number 2 again, unchanged.
# Li2Hg2S3

A relaxed Li2Hg2S3 crystal (PBE-GGA, Alexandria).

Density (Mg/m³): 5.50
Energy relative to the elements, uncorrected (eV/atom): -0.489

```
Li2Hg2S3
1.0
7.193 0.000 0.000
0.000 7.011 0.000
-3.298 0.000 6.121
Li Hg S
4 4 6
direct
0.147 0.126 0.440
0.147 0.374 0.940
0.853 0.626 0.060
0.853 0.874 0.560
0.422 0.653 0.609
0.422 0.847 0.109
0.578 0.153 0.891
0.578 0.347 0.391
0.166 0.054 0.809
0.166 0.446 0.309
0.500 0.000 0.500
0.500 0.500 0.000
0.834 0.554 0.691
0.834 0.946 0.191
```



Among the records above, which one has the highest density? VIr3Pt